Arrangement w

# La2Er6Sc, optimized geometry, DFT PBE-GGA
data_La2Er6Sc
_cell_length_a 6.1418
_cell_length_b 17.3554
_cell_length_c 5.9281
_cell_angle_alpha 90.00
_cell_angle_beta 116.92
_cell_angle_gamma 90.00
_space_group_name_H-M_alt 'C 1 2/m 1'
_space_group_IT_number 12
loop_
_space_group_symop_operation_xyz
'x,y,z'
'-x,-y,-z'
'-x,y,-z'
'x,-y,z'
'x+1/2,y+1/2,z'
'-x+1/2,-y+1/2,-z'
'-x+1/2,y+1/2,-z'
'x+1/2,-y+1/2,z'
loop_
_atom_site_label
_atom_site_fract_x
_atom_site_fract_y
_atom_site_fract_z
La1 0.0000 0.1764 0.0000
Er1 0.1781 0.3419 0.3491
Er2 0.1785 0.5000 0.8357
Sc1 0.0000 0.0000 0.5000
# **ρ**: 7.82 Mg/m³

Arrangement x

# La2Er6Sc, optimized geometry, DFT PBE-GGA
data_La2Er6Sc
_cell_length_a 16.3770
_cell_length_b 11.5196
_cell_length_c 6.0313
_cell_angle_alpha 90.00
_cell_angle_beta 97.31
_cell_angle_gamma 90.00
_space_group_name_H-M_alt 'C 1 2/c 1'
_space_group_IT_number 15
loop_
_space_group_symop_operation_xyz
'x,y,z'
'-x,-y,-z'
'-x,y,-z+1/2'
'x,-y,z+1/2'
'x+1/2,y+1/2,z'
'-x+1/2,-y+1/2,-z'
'-x+1/2,y+1/2,-z+1/2'
'x+1/2,-y+1/2,z+1/2'
loop_
_atom_site_label
_atom_site_fract_x
_atom_site_fract_y
_atom_site_fract_z
La1 0.1723 0.1075 0.0557
Er1 0.0492 0.1430 0.5111
Er2 0.1054 0.3695 0.8295
Er3 0.2022 0.3642 0.3722
Sc1 0.0000 0.3961 0.2500
# **ρ**: 7.81 Mg/m³

Going by the computed energies, the most stable comes first: arrangement x, arrangement w.

Arrangement w

# LaEr2Sc2, optimized geometry, DFT PBE-GGA
data_LaEr2Sc2
_cell_length_a 10.9267
_cell_length_b 4.8942
_cell_length_c 10.9289
_cell_angle_alpha 90.00
_cell_angle_beta 90.22
_cell_angle_gamma 90.00
_space_group_name_H-M_alt 'C 1 2/m 1'
_space_group_IT_number 12
loop_
_space_group_symop_operation_xyz
'x,y,z'
'-x,-y,-z'
'-x,y,-z'
'x,-y,z'
'x+1/2,y+1/2,z'
'-x+1/2,-y+1/2,-z'
'-x+1/2,y+1/2,-z'
'x+1/2,-y+1/2,z'
loop_
_atom_site_label
_atom_site_fract_x
_atom_site_fract_y
_atom_site_fract_z
La1 0.2474 0.0000 0.2461
Er1 0.0510 0.0000 0.8540
Er2 0.1467 0.0000 0.5499
Sc1 0.0497 0.5000 0.3509
Sc2 0.1478 0.5000 0.0503
# **ρ**: 6.40 Mg/m³

Arrangement x

# LaEr2Sc2, optimized geometry, DFT PBE-GGA
data_LaEr2Sc2
_cell_length_a 5.2617
_cell_length_b 3.6421
_cell_length_c 8.1179
_cell_angle_alpha 90.00
_cell_angle_beta 90.09
_cell_angle_gamma 90.00
_space_group_name_H-M_alt 'P 1 2/m 1'
_space_group_IT_number 10
loop_
_space_group_symop_operation_xyz
'x,y,z'
'-x,-y,-z'
'-x,y,-z'
'x,-y,z'
loop_
_atom_site_label
_atom_site_fract_x
_atom_site_fract_y
_atom_site_fract_z
La1 0.0000 0.0000 0.0000
Er1 0.4993 0.5000 0.8049
Sc1 0.0000 0.5000 0.5000
Sc2 0.5000 0.0000 0.5000
# **ρ**: 6.01 Mg/m³

Going by the computed energies, the most stable comes first: arrangement w, arrangement x.

Arrangement w

# LaErThSc, optimized geometry, DFT PBE-GGA
data_LaErThSc
_cell_length_a 3.5843
_cell_length_b 3.5843
_cell_length_c 9.6361
_cell_angle_alpha 90.00
_cell_angle_beta 90.00
_cell_angle_gamma 90.00
_space_group_name_H-M_alt 'P 4 m m'
_space_group_IT_number 99
loop_
_space_group_symop_operation_xyz
'x,y,z'
'-y,x,z'
'-x,-y,z'
'y,-x,z'
'-x,y,z'
'y,x,z'
'x,-y,z'
'-y,-x,z'
loop_
_atom_site_label
_atom_site_fract_x
_atom_site_fract_y
_atom_site_fract_z
La1 0.0000 0.0000 0.0000
Er1 0.5000 0.5000 0.7273
Th1 0.0000 0.0000 0.4798
Sc1 0.5000 0.5000 0.2503
# **ρ**: 7.82 Mg/m³

Arrangement x

# LaErThSc, optimized geometry, DFT PBE-GGA
data_LaErThSc
_cell_length_a 7.9123
_cell_length_b 7.9123
_cell_length_c 7.9123
_cell_angle_alpha 90.00
_cell_angle_beta 90.00
_cell_angle_gamma 90.00
_space_group_name_H-M_alt 'F -4 3 m'
_space_group_IT_number 216
_space_group_name_Hall 'F -4 2 3'
loop_
_atom_site_label
_atom_site_fract_x
_atom_site_fract_y
_atom_site_fract_z
La1 0.0000 0.0000 0.0000
Er1 0.2500 0.2500 0.7500
Th1 0.0000 0.0000 0.5000
Sc1 0.2500 0.2500 0.2500
# **ρ**: 7.82 Mg/m³

Going by the computed energies, the most stable comes first: arrangement w, arrangement x.

Arrangement w

# LaErTmSc, optimized geometry, DFT PBE-GGA
data_LaErTmSc
_cell_length_a 7.8887
_cell_length_b 7.8887
_cell_length_c 7.8887
_cell_angle_alpha 90.00
_cell_angle_beta 90.00
_cell_angle_gamma 90.00
_space_group_name_H-M_alt 'F -4 3 m'
_space_group_IT_number 216
_space_group_name_Hall 'F -4 2 3'
loop_
_atom_site_label
_atom_site_fract_x
_atom_site_fract_y
_atom_site_fract_z
La1 0.0000 0.0000 0.0000
Er1 0.0000 0.0000 0.5000
Tm1 0.2500 0.2500 0.2500
Sc1 0.2500 0.2500 0.7500
# **ρ**: 7.04 Mg/m³

Arrangement x

# LaErTmSc, optimized geometry, DFT PBE-GGA
data_LaErTmSc
_cell_length_a 3.5109
_cell_length_b 3.5109
_cell_length_c 34.0911
_cell_angle_alpha 90.00
_cell_angle_beta 90.00
_cell_angle_gamma 120.00
_space_group_name_H-M_alt 'R 3 m'
_space_group_IT_number 160
_space_group_name_Hall 'R 3 -2"'
loop_
_atom_site_label
_atom_site_fract_x
_atom_site_fract_y
_atom_site_fract_z
La1 0.0000 0.0000 0.0000
Er1 0.0000 0.0000 0.1707
Tm1 0.0000 0.0000 0.7554
Sc1 0.0000 0.0000 0.5826
# **ρ**: 7.12 Mg/m³

Going by the computed energies, the most stable comes first: arrangement x, arrangement w.

Arrangement w

# La4Er3Se8, optimized geometry, DFT PBE-GGA
data_La4Er3Se8
_cell_length_a 11.8155
_cell_length_b 11.8283
_cell_length_c 8.3282
_cell_angle_alpha 90.00
_cell_angle_beta 134.69
_cell_angle_gamma 90.00
_space_group_name_H-M_alt 'C 1 2/m 1'
_space_group_IT_number 12
loop_
_space_group_symop_operation_xyz
'x,y,z'
'-x,-y,-z'
'-x,y,-z'
'x,-y,z'
'x+1/2,y+1/2,z'
'-x+1/2,-y+1/2,-z'
'-x+1/2,y+1/2,-z'
'x+1/2,-y+1/2,z'
loop_
_atom_site_label
_atom_site_fract_x
_atom_site_fract_y
_atom_site_fract_z
La1 0.0000 0.0000 0.0000
La2 0.0000 0.5000 0.5000
La3 0.2500 0.2500 0.0000
Er1 0.0000 0.5000 0.0000
Er2 0.2500 0.2500 0.5000
Se1 0.0000 0.2426 0.5000
Se2 0.0000 0.2572 0.0000
Se3 0.2485 0.5000 0.0125
Se4 0.2495 0.0000 0.5143
# **ρ**: 6.78 Mg/m³

Arrangement x

# La4Er3Se8, optimized geometry, DFT PBE-GGA
data_La4Er3Se8
_cell_length_a 8.1455
_cell_length_b 8.1455
_cell_length_c 23.4747
_cell_angle_alpha 90.00
_cell_angle_beta 90.00
_cell_angle_gamma 120.00
_space_group_name_H-M_alt 'R -3 m'
_space_group_IT_number 166
_space_group_name_Hall '-R 3 2"'
loop_
_atom_site_label
_atom_site_fract_x
_atom_site_fract_y
_atom_site_fract_z
La1 0.0000 0.0000 0.0000
La2 0.0000 0.0000 0.1483
La3 0.0000 0.0000 0.5000
Er1 0.0000 0.5000 0.0000
Se1 0.0000 0.0000 0.2709
Se2 0.0124 0.5062 0.2563
# **ρ**: 6.24 Mg/m³

Going by the computed energies, the most stable comes first: arrangement w, arrangement x.

Arrangement w

# LaErSe2, optimized geometry, DFT PBE-GGA
data_LaErSe2
_cell_length_a 4.1127
_cell_length_b 4.1127
_cell_length_c 21.0402
_cell_angle_alpha 90.00
_cell_angle_beta 90.00
_cell_angle_gamma 120.00
_space_group_name_H-M_alt 'R -3 m'
_space_group_IT_number 166
_space_group_name_Hall '-R 3 2"'
loop_
_atom_site_label
_atom_site_fract_x
_atom_site_fract_y
_atom_site_fract_z
La1 0.0000 0.0000 0.0000
Er1 0.0000 0.0000 0.5000
Se1 0.0000 0.0000 0.2424
# **ρ**: 7.50 Mg/m³

Arrangement x

# LaErSe2, optimized geometry, DFT PBE-GGA
data_LaErSe2
_cell_length_a 4.0743
_cell_length_b 4.0743
_cell_length_c 21.7657
_cell_angle_alpha 90.00
_cell_angle_beta 90.00
_cell_angle_gamma 120.00
_space_group_name_H-M_alt 'R 3 m'
_space_group_IT_number 160
_space_group_name_Hall 'R 3 -2"'
loop_
_atom_site_label
_atom_site_fract_x
_atom_site_fract_y
_atom_site_fract_z
La1 0.0000 0.0000 0.0000
Er1 0.0000 0.0000 0.1760
Se1 0.0000 0.0000 0.5799
Se2 0.0000 0.0000 0.7624
# **ρ**: 7.39 Mg/m³

Going by the computed energies, the most stable comes first: arrangement w, arrangement x.

Arrangement w

# LaErSi, optimized geometry, DFT PBE-GGA
data_LaErSi
_cell_length_a 7.0196
_cell_length_b 7.0196
_cell_length_c 7.0196
_cell_angle_alpha 90.00
_cell_angle_beta 90.00
_cell_angle_gamma 90.00
_space_group_name_H-M_alt 'F -4 3 m'
_space_group_IT_number 216
_space_group_name_Hall 'F -4 2 3'
loop_
_atom_site_label
_atom_site_fract_x
_atom_site_fract_y
_atom_site_fract_z
La1 0.0000 0.0000 0.0000
Er1 0.0000 0.0000 0.5000
Si1 0.2500 0.2500 0.2500
# **ρ**: 6.42 Mg/m³

Arrangement x

# LaErSi, optimized geometry, DFT PBE-GGA
data_LaErSi
_cell_length_a 3.7227
_cell_length_b 5.3715
_cell_length_c 8.3148
_cell_angle_alpha 96.12
_cell_angle_beta 102.86
_cell_angle_gamma 90.03
_space_group_name_H-M_alt 'P -1'
_space_group_IT_number 2
loop_
_space_group_symop_operation_xyz
'x,y,z'
'-x,-y,-z'
loop_
_atom_site_label
_atom_site_fract_x
_atom_site_fract_y
_atom_site_fract_z
La1 0.0774 0.1953 0.1559
Er1 0.2087 0.7318 0.4171
Si1 0.4376 0.3386 0.8743
# **ρ**: 6.89 Mg/m³

Arrangement y

# LaErSi, optimized geometry, DFT PBE-GGA
data_LaErSi
_cell_length_a 3.4348
_cell_length_b 17.2222
_cell_length_c 5.7899
_cell_angle_alpha 90.00
_cell_angle_beta 90.00
_cell_angle_gamma 90.00
_space_group_name_H-M_alt 'C m c m'
_space_group_IT_number 63
_space_group_name_Hall '-C 2c 2'
loop_
_atom_site_label
_atom_site_fract_x
_atom_site_fract_y
_atom_site_fract_z
La1 0.0000 0.1739 0.2500
Er1 0.0000 0.5000 0.0000
Si1 0.0000 0.3510 0.2500
# **ρ**: 6.48 Mg/m³

Going by the computed energies, the most stable comes first: arrangement w, arrangement x, arrangement y.

Arrangement w

# La3Sm4Er4, optimized geometry, DFT PBE-GGA
data_La3Sm4Er4
_cell_length_a 3.6307
_cell_length_b 9.4770
_cell_length_c 22.0896
_cell_angle_alpha 90.00
_cell_angle_beta 90.00
_cell_angle_gamma 90.00
_space_group_name_H-M_alt 'I m m m'
_space_group_IT_number 71
_space_group_name_Hall '-I 2 2'
loop_
_atom_site_label
_atom_site_fract_x
_atom_site_fract_y
_atom_site_fract_z
La1 0.0000 0.0000 0.0000
La2 0.0000 0.5000 0.1094
Sm1 0.0000 0.3208 0.3522
Er1 0.0000 0.0000 0.2577
Er2 0.0000 0.1819 0.5000
# **ρ**: 7.37 Mg/m³

Arrangement x

# La3Sm4Er4, optimized geometry, DFT PBE-GGA
data_La3Sm4Er4
_cell_length_a 10.8094
_cell_length_b 5.7633
_cell_length_c 12.1473
_cell_angle_alpha 90.00
_cell_angle_beta 90.00
_cell_angle_gamma 90.00
_space_group_name_H-M_alt 'A m m 2'
_space_group_IT_number 38
loop_
_space_group_symop_operation_xyz
'x,y,z'
'-x,-y,z'
'-x,y,z'
'x,-y,z'
'x,y+1/2,z+1/2'
'-x,-y+1/2,z+1/2'
'-x,y+1/2,z+1/2'
'x,-y+1/2,z+1/2'
loop_
_atom_site_label
_atom_site_fract_x
_atom_site_fract_y
_atom_site_fract_z
La1 0.0000 0.0000 0.0000
La2 0.2869 0.0000 0.1596
Sm1 0.0000 0.0000 0.7032
Sm2 0.2168 0.0000 0.4957
Sm3 0.5000 0.0000 0.6334
Er1 0.0000 0.0000 0.3063
Er2 0.3049 0.0000 0.8543
Er3 0.5000 0.0000 0.3611
# **ρ**: 7.40 Mg/m³

Going by the computed energies, the most stable comes first: arrangement w, arrangement x.

Arrangement w

# LaSmEr4, optimized geometry, DFT PBE-GGA
data_LaSmEr4
_cell_length_a 8.8538
_cell_length_b 14.7538
_cell_length_c 6.4569
_cell_angle_alpha 90.00
_cell_angle_beta 109.03
_cell_angle_gamma 90.00
_space_group_name_H-M_alt 'C 1 2/c 1'
_space_group_IT_number 15
loop_
_space_group_symop_operation_xyz
'x,y,z'
'-x,-y,-z'
'-x,y,-z+1/2'
'x,-y,z+1/2'
'x+1/2,y+1/2,z'
'-x+1/2,-y+1/2,-z'
'-x+1/2,y+1/2,-z+1/2'
'x+1/2,-y+1/2,z+1/2'
loop_
_atom_site_label
_atom_site_fract_x
_atom_site_fract_y
_atom_site_fract_z
La1 0.0000 0.0829 0.2500
Sm1 0.0000 0.4974 0.7500
Er1 0.0928 0.3053 0.5315
Er2 0.2058 0.1361 0.8811
# **ρ**: 7.98 Mg/m³

Arrangement x

# LaSmEr4, optimized geometry, DFT PBE-GGA
data_LaSmEr4
_cell_length_a 9.3846
_cell_length_b 9.3846
_cell_length_c 9.3846
_cell_angle_alpha 90.00
_cell_angle_beta 90.00
_cell_angle_gamma 90.00
_space_group_name_H-M_alt 'F -4 3 m'
_space_group_IT_number 216
_space_group_name_Hall 'F -4 2 3'
loop_
_atom_site_label
_atom_site_fract_x
_atom_site_fract_y
_atom_site_fract_z
La1 0.0000 0.0000 0.0000
Sm1 0.2500 0.2500 0.7500
Er1 0.1244 0.1244 0.3756
# **ρ**: 7.70 Mg/m³

Arrangement y

# LaSmEr4, optimized geometry, DFT PBE-GGA
data_LaSmEr4
_cell_length_a 11.2961
_cell_length_b 5.0356
_cell_length_c 7.1475
_cell_angle_alpha 90.00
_cell_angle_beta 108.42
_cell_angle_gamma 90.00
_space_group_name_H-M_alt 'C 1 2/m 1'
_space_group_IT_number 12
loop_
_space_group_symop_operation_xyz
'x,y,z'
'-x,-y,-z'
'-x,y,-z'
'x,-y,z'
'x+1/2,y+1/2,z'
'-x+1/2,-y+1/2,-z'
'-x+1/2,y+1/2,-z'
'x+1/2,-y+1/2,z'
loop_
_atom_site_label
_atom_site_fract_x
_atom_site_fract_y
_atom_site_fract_z
La1 0.0000 0.0000 0.0000
Sm1 0.0000 0.0000 0.5000
Er1 0.1673 0.5000 0.8320
Er2 0.1694 0.5000 0.3360
# **ρ**: 8.25 Mg/m³

Going by the computed energies, the most stable comes first: arrangement y, arrangement w, arrangement x.

Arrangement w

# La2Sm2Er7, optimized geometry, DFT PBE-GGA
data_La2Sm2Er7
_cell_length_a 6.4957
_cell_length_b 12.1493
_cell_length_c 9.4386
_cell_angle_alpha 90.00
_cell_angle_beta 90.00
_cell_angle_gamma 90.00
_space_group_name_H-M_alt 'C m m m'
_space_group_IT_number 65
_space_group_name_Hall '-C 2 2'
loop_
_atom_site_label
_atom_site_fract_x
_atom_site_fract_y
_atom_site_fract_z
La1 0.2484 0.0000 0.0000
Sm1 0.0000 0.2226 0.5000
Er1 0.0000 0.0000 0.3165
Er2 0.0000 0.5000 0.5000
Er3 0.2500 0.2500 0.1828
# **ρ**: 7.80 Mg/m³

Arrangement x

# La2Sm2Er7, optimized geometry, DFT PBE-GGA
data_La2Sm2Er7
_cell_length_a 11.3088
_cell_length_b 11.6083
_cell_length_c 6.1067
_cell_angle_alpha 90.00
_cell_angle_beta 113.97
_cell_angle_gamma 90.00
_space_group_name_H-M_alt 'C 1 2/m 1'
_space_group_IT_number 12
loop_
_space_group_symop_operation_xyz
'x,y,z'
'-x,-y,-z'
'-x,y,-z'
'x,-y,z'
'x+1/2,y+1/2,z'
'-x+1/2,-y+1/2,-z'
'-x+1/2,y+1/2,-z'
'x+1/2,-y+1/2,z'
loop_
_atom_site_label
_atom_site_fract_x
_atom_site_fract_y
_atom_site_fract_z
La1 0.1007 0.0000 0.3123
Sm1 0.0000 0.2905 0.0000
Er1 0.0000 0.5000 0.5000
Er2 0.1729 0.2609 0.6788
Er3 0.2293 0.5000 0.0733
# **ρ**: 7.93 Mg/m³

Going by the computed energies, the most stable comes first: arrangement x, arrangement w.

Arrangement w

# LaSm7Er3, optimized geometry, DFT PBE-GGA
data_LaSm7Er3
_cell_length_a 11.7503
_cell_length_b 10.0976
_cell_length_c 6.4384
_cell_angle_alpha 90.00
_cell_angle_beta 95.88
_cell_angle_gamma 90.00
_space_group_name_H-M_alt 'C 1 2/m 1'
_space_group_IT_number 12
loop_
_space_group_symop_operation_xyz
'x,y,z'
'-x,-y,-z'
'-x,y,-z'
'x,-y,z'
'x+1/2,y+1/2,z'
'-x+1/2,-y+1/2,-z'
'-x+1/2,y+1/2,-z'
'x+1/2,-y+1/2,z'
loop_
_atom_site_label
_atom_site_fract_x
_atom_site_fract_y
_atom_site_fract_z
La1 0.0000 0.0000 0.0000
Sm1 0.0000 0.0000 0.5000
Sm2 0.2346 0.5000 0.7104
Sm3 0.2484 0.3252 0.2414
Er1 0.0000 0.3310 0.5000
Er2 0.0000 0.5000 0.0000
# **ρ**: 7.40 Mg/m³

Arrangement x

# LaSm7Er3, optimized geometry, DFT PBE-GGA
data_LaSm7Er3
_cell_length_a 7.1731
_cell_length_b 7.1731
_cell_length_c 8.6599
_cell_angle_alpha 90.00
_cell_angle_beta 90.00
_cell_angle_gamma 120.00
_space_group_name_H-M_alt 'P 3 m 1'
_space_group_IT_number 156
loop_
_space_group_symop_operation_xyz
'x,y,z'
'-y,x-y,z'
'-x+y,-x,z'
'-y,-x,z'
'-x+y,y,z'
'x,x-y,z'
loop_
_atom_site_label
_atom_site_fract_x
_atom_site_fract_y
_atom_site_fract_z
La1 0.0000 0.0000 0.0000
Sm1 0.0018 0.5009 0.9865
Sm2 0.3320 0.1660 0.3322
Sm3 0.3333 0.6667 0.3202
Er1 0.1674 0.3348 0.6574
# **ρ**: 7.29 Mg/m³

Going by the computed energies, the most stable comes first: arrangement x, arrangement w.